# 1
Nd2Cd2Ag3 after structural relaxation. Source: Alexandria via LeMat-Bulk, functional PBE.

The calculation puts the polymorph energy (0 for the lowest one) at 14 meV/atom. The value obtained for the formation energy is -226.4 meV/atom.

The structure belongs to space group Cmcm (No. 63); the cell edges are 4.113, 20.418 and 8.248 Å and the angles 90.00°, 90.00° and 90.00°. Symmetry generates all atoms from Nd at (0.000, 0.059, 0.250), Nd at (0.000, 0.149, 0.750), Cd at (0.000, 0.314, 0.554), Ag at (0.000, 0.235, 0.250) and Ag at (0.000, 0.443, 0.077).

---

# 2
NdCd6Ag4 after structural relaxation. Source: Alexandria via LeMat-Bulk, functional PBE.

The calculation puts the polymorph energy (0 for the lowest one) at 64 meV/atom. The value obtained for the formation energy is -38.2 meV/atom.

The structure belongs to space group I-42m (No. 121); the cell edges are 7.163, 7.163 and 10.408 Å and the angles 90.00°, 90.00° and 90.00°. Symmetry generates all atoms from Nd at (0.000, 0.000, 0.000), Cd at (0.000, 0.500, 0.000), Cd at (0.183, 0.183, 0.292) and Ag at (0.171, 0.171, 0.573).

---

# 3
Nd6CdAg5 after structural relaxation. Source: Alexandria via LeMat-Bulk, functional PBE.

The value obtained for the formation energy is -265.6 meV/atom.

The structure belongs to space group P2/m (No. 10); the cell edges are 5.362, 7.461 and 8.467 Å and the angles 90.00°, 108.19° and 90.00°. Symmetry generates all atoms from Nd at (0.000, 0.243, 0.000), Nd at (0.330, 0.248, 0.662), Cd at (0.500, 0.500, 0.000), Ag at (0.163, 0.500, 0.322), Ag at (0.168, 0.000, 0.332) and Ag at (0.500, 0.000, 0.000).

---

# 4
Nd2CdAg6 after structural relaxation. Source: Alexandria via LeMat-Bulk, functional PBE.

The value obtained for the formation energy is -174.8 meV/atom.

The structure belongs to space group C2/m (No. 12); the cell edges are 10.899, 6.282 and 5.924 Å and the angles 90.00°, 90.07° and 90.00°. Symmetry generates all atoms from Nd at (0.167, 0.000, 0.158), Cd at (0.000, 0.500, 0.000), Ag at (0.092, 0.225, 0.669) and Ag at (0.183, 0.500, 0.331).

---

# 5
NdCd5Ag after structural relaxation. Source: Alexandria via LeMat-Bulk, functional PBE.

The value obtained for the formation energy is -181.0 meV/atom.

The structure belongs to space group P4/mmm (No. 123); the cell edges are 4.805, 4.805 and 7.510 Å and the angles 90.00°, 90.00° and 90.00°. Symmetry generates all atoms from Nd at (0.000, 0.000, 0.000), Cd at (0.000, 0.500, 0.292), Cd at (0.500, 0.500, 0.000) and Ag at (0.000, 0.000, 0.500).

---

# 6
Nd2Cd12Ag5 after structural relaxation. Source: Alexandria via LeMat-Bulk, functional PBE.

The value obtained for the formation energy is -155.4 meV/atom.

The structure belongs to space group R-3m (No. 166, hexagonal axes); the cell edges are 9.9495, 9.9495 and 14.7059 Å and the angles 90.00°, 90.00° and 120.00°. Symmetry generates all atoms from Nd at (0.0000, 0.0000, 0.1660), Cd at (0.0000, 0.2966, 0.5000), Cd at (0.0016, 0.5008, 0.6495), Ag at (0.0000, 0.0000, 0.3958) and Ag at (0.0000, 0.5000, 0.0000).

---

# 7
Nd4Cd3Ag after structural relaxation. Source: Alexandria via LeMat-Bulk, functional PBE.

The calculation puts the polymorph energy (0 for the lowest one) at 46 meV/atom. The value obtained for the formation energy is -255.1 meV/atom.

The structure belongs to space group Pmm2 (No. 25); the cell edges are 3.614, 4.996 and 12.505 Å and the angles 90.00°, 90.00° and 90.00°. Symmetry generates all atoms from Nd at (0.000, 0.000, 0.000), Nd at (0.000, 0.500, 0.306), Nd at (0.500, 0.000, 0.491), Nd at (0.500, 0.500, 0.814), Cd at (0.000, 0.000, 0.723), Cd at (0.000, 0.500, 0.582), Cd at (0.500, 0.500, 0.086) and Ag at (0.500, 0.000, 0.224).

---

# 8
NdCd10Ag2 after structural relaxation. Source: Alexandria via LeMat-Bulk, functional PBE.

The value obtained for the formation energy is -128.4 meV/atom.

The structure belongs to space group P-1 (No. 2); the cell edges are 5.799, 7.602 and 7.622 Å and the angles 81.95°, 68.19° and 68.11°. Symmetry generates all atoms from Nd at (0.000, 0.000, 0.000), Cd at (0.000, 0.000, 0.500), Cd at (0.008, 0.644, 0.342), Cd at (0.285, 0.217, 0.209), Cd at (0.349, 0.644, 0.658), Cd at (0.496, 0.217, 0.791), Cd at (0.500, 0.000, 0.500), Ag at (0.000, 0.500, 0.000) and Ag at (0.500, 0.500, 0.000).

---

# 9
Nd2Cd6Ag3 after structural relaxation. Source: Alexandria via LeMat-Bulk, functional PBE.

The value obtained for the formation energy is -148.1 meV/atom.

The structure belongs to space group P-62m (No. 189); the cell edges are 8.1306, 8.1306 and 4.6707 Å and the angles 90.00°, 90.00° and 120.00°. Symmetry generates all atoms from Nd at (0.3333, 0.6667, 0.0000), Cd at (0.0000, 0.2606, 0.5000), Cd at (0.0000, 0.7905, 0.0000) and Ag at (0.0000, 0.5941, 0.5000).

---

# 10
Nd4Cd2Ag after structural relaxation. Source: Alexandria via LeMat-Bulk, functional PBE.

The calculation puts the polymorph energy (0 for the lowest one) at 0 meV/atom. The value obtained for the formation energy is -125.0 meV/atom.

The structure belongs to space group Cmmm (No. 65); the cell edges are 7.614, 10.685 and 5.321 Å and the angles 90.00°, 90.00° and 90.00°. Symmetry generates all atoms from Nd at (0.248, 0.000, 0.000), Nd at (0.250, 0.250, 0.500), Cd at (0.000, 0.252, 0.000) and Ag at (0.000, 0.500, 0.500).

---

# 11
Nd2CdAg5 after structural relaxation. Source: Alexandria via LeMat-Bulk, functional PBE.

The value obtained for the formation energy is -98.5 meV/atom.

The structure belongs to space group I4mm (No. 107); the cell edges are 6.863, 6.863 and 7.888 Å and the angles 90.00°, 90.00° and 90.00°. Symmetry generates all atoms from Nd at (0.000, 0.500, 0.000), Cd at (0.000, 0.000, 0.422), Ag at (0.000, 0.000, 0.049) and Ag at (0.208, 0.208, 0.749).

---

# 12
Nd4Cd5Ag after structural relaxation. Source: Alexandria via LeMat-Bulk, functional PBE.

The calculation puts the polymorph energy (0 for the lowest one) at 0 meV/atom. The value obtained for the formation energy is -278.9 meV/atom.

The structure belongs to space group C2/m (No. 12); the cell edges are 16.232, 5.221 and 6.673 Å and the angles 90.00°, 107.69° and 90.00°. Symmetry generates all atoms from Nd at (0.097, 0.000, 0.388), Nd at (0.187, 0.500, 0.813), Cd at (0.000, 0.500, 0.000), Cd at (0.097, 0.000, 0.914), Cd at (0.202, 0.500, 0.309) and Ag at (0.000, 0.500, 0.500).